# AlSiNiAu

An optimized crystal structure of AlSiNiAu (PBE-GGA, OQMD via LeMat-Bulk).

Its density is 8.8 Mg/m³. As for the space group: F-43m (216). The calculated total energy comes out at -4.4678 eV per atom. As for the total moment: 0.0 μB/f.u. For the energy above the most stable polymorph in this dataset, the calculation gives 97 meV per atom.

Lattice parameters (Å, degrees): 4.3659 4.3659 4.3659 60.00 60.00 60.00
Last column: nearest neighbours and their distance in Å.
Sites, in units of the cell vectors:
Al: 0.0000 0.0000 0.0000  4 Si 2.67, 4 Au 2.67
Si: 0.7500 0.7500 0.7500  4 Ni 2.67, 4 Al 2.67
Ni: 0.5000 0.5000 0.5000  4 Si 2.67, 4 Au 2.67
Au: 0.2500 0.2500 0.2500  4 Ni 2.67, 4 Al 2.67